*a*
A plane-wave DFT calculation with PBE was carried out for an optimized crystal structure of BaSbSe4.

It has space group C2/c (No. 15), with a = 14.416 Å, b = 5.369 Å, c = 10.158 Å, α = 90.00°, β = 97.39° and γ = 90.00°. Symmetry generates all atoms from Ba at (0.000, 0.158, 0.250), Sb at (0.250, 0.250, 0.000), Se at (0.060, 0.353, 0.958) and Se at (0.232, 0.004, 0.746).

The density is 4.90 g cm⁻³. The size of the total moment is 0.000 μB/cell.


*b*
A plane-wave DFT calculation with PBE was carried out for an optimized crystal structure of BaSbSe4.

It has space group F-43m (No. 216), with a = 8.518 Å, b = 8.518 Å, c = 8.518 Å, α = 90.00°, β = 90.00° and γ = 90.00°. Symmetry generates all atoms from Ba at (0.000, 0.000, 0.000), Sb at (0.250, 0.250, 0.750) and Se at (0.124, 0.124, 0.376).

The density is 6.18 g cm⁻³. The size of the total moment is 0.000 μB/cell.


Verdict on stability: *a* comes out on top.


*a*
A plane-wave DFT calculation with PBE was carried out for an optimized crystal structure of BaSb2TeSe.

It has space group P4/mmm (No. 123), with a = 5.536 Å, b = 5.536 Å, c = 5.656 Å, α = 90.00°, β = 90.00° and γ = 90.00°. Symmetry generates all atoms from Ba at (0.000, 0.000, 0.000), Sb at (0.000, 0.500, 0.500), Te at (0.500, 0.500, 0.000) and Se at (0.500, 0.500, 0.500).

The density is 5.63 g cm⁻³. The size of the total moment is 0.000 μB/cell.


*b*
A plane-wave DFT calculation with PBE was carried out for an optimized crystal structure of BaSb2TeSe.

It has space group P4/mmm (No. 123), with a = 6.477 Å, b = 6.477 Å, c = 6.372 Å, α = 90.00°, β = 90.00° and γ = 90.00°. Symmetry generates all atoms from Ba at (0.000, 0.000, 0.000), Sb at (0.000, 0.500, 0.000), Te at (0.000, 0.000, 0.500) and Se at (0.500, 0.500, 0.500).

The density is 3.65 g cm⁻³. The size of the total moment is 1.048 μB/cell.


Verdict on stability: *a* comes out on top.


*a*
A plane-wave DFT calculation with PBE was carried out for an optimized crystal structure of BaSiSb3.

It has space group Pm-3m (No. 221), with a = 5.407 Å, b = 5.407 Å, c = 5.407 Å, α = 90.00°, β = 90.00° and γ = 90.00°. Symmetry generates all atoms from Ba at (0.000, 0.000, 0.000), Si at (0.500, 0.500, 0.500) and Sb at (0.000, 0.500, 0.500).

The density is 5.57 g cm⁻³. The size of the total moment is 0.000 μB/cell.


*b*
A plane-wave DFT calculation with PBE was carried out for an optimized crystal structure of BaSiSb3.

It has space group Pm-3m (No. 221), with a = 6.135 Å, b = 6.135 Å, c = 6.135 Å, α = 90.00°, β = 90.00° and γ = 90.00°. Symmetry generates all atoms from Ba at (0.000, 0.000, 0.000), Si at (0.500, 0.500, 0.500) and Sb at (0.000, 0.000, 0.500).

The density is 3.82 g cm⁻³. The size of the total moment is 0.000 μB/cell.


Verdict on stability: *a* comes out on top.